Entry 1:
Here is an optimized crystal structure of TlSn2P2 from the Alexandria database. Energies are from PBE-GGA.

formation energy from the elements = 206 meV per atom
energy relative to the lowest polymorph listed for this composition = 102.2 meV/atom
N(E_F) = 4.45 states/eV per cell

a = 8.0353 Å, b = 8.0353 Å, c = 3.6410 Å
α = 90.00°, β = 90.00°, γ = 90.00°
Positions (direct):
P (0.3614, 0.8614, 0.0000)
P (0.8614, 0.6386, 0.0000)
P (0.6386, 0.1386, 0.0000)
P (0.1386, 0.3614, 0.0000)
Tl (0.0000, 0.0000, 0.0000)
Tl (0.5000, 0.5000, 0.0000)
Sn (0.1452, 0.6452, 0.5000)
Sn (0.6452, 0.8548, 0.5000)
Sn (0.8548, 0.3548, 0.5000)
Sn (0.3548, 0.1452, 0.5000)


Entry 2:
Here is an optimized crystal structure of Ac4SnSbTe2 from the Alexandria database. Energies are from PBE-GGA.

N(E_F) = 3.28 states/eV per cell
energy relative to the elements, uncorrected = -10.3 eV per formula unit

a = 6.7567 Å, b = 6.7566 Å, c = 8.3004 Å
α = 114.02°, β = 114.02°, γ = 90.00°
Positions (direct):
Ac (0.9962, 0.4962, 0.9924)
Ac (0.5038, 0.0038, 0.0076)
Ac (0.7451, 0.7451, 0.4901)
Ac (0.2549, 0.2549, 0.5099)
Sn (0.5000, 0.5000, 0.0000)
Sb (0.7500, 0.2500, 0.5000)
Te (0.2500, 0.7500, 0.5000)
Te (0.0000, 0.0000, 0.0000)


Entry 3:
Here is an optimized crystal structure of ZnCuOs from the Alexandria database. Energies are from PBE-GGA.

formation energy from the elements = 833 meV per atom
energy relative to the lowest polymorph listed for this composition = 818.8 meV/atom
N(E_F) = 4.76 states/eV per cell

a = 4.0308 Å, b = 4.0308 Å, c = 4.0308 Å
α = 60.00°, β = 60.00°, γ = 60.00°
Last column: magnetic moment on the atom in μB.
Positions (direct):
Cu (0.7500, 0.7500, 0.7500)  0.16
Os (0.0000, 0.0000, 0.0000)  1.00
Zn (0.5000, 0.5000, 0.5000)  -0.03


Entry 4:
Here is an optimized crystal structure of Cs2DySnCl6 from the Alexandria database. Energies are from PBE-GGA.

energy relative to the elements, uncorrected = -17.5 eV per formula unit

a = 7.5064 Å, b = 9.0831 Å, c = 10.8830 Å
α = 90.00°, β = 90.00°, γ = 90.00°
Last column: magnetic moment on the atom in μB.
Positions (direct):
Cs (0.5000, 0.7922, 0.2473)  0.00
Cs (0.0000, 0.2078, 0.7473)  0.00
Cs (0.5000, 0.7922, 0.7527)  0.00
Cs (0.0000, 0.2078, 0.2527)  0.00
Dy (0.5000, 0.2288, 0.5000)  0.04
Dy (0.0000, 0.7712, 0.0000)  0.04
Sn (0.0000, 0.7207, 0.5000)  0.36
Sn (0.5000, 0.2793, 0.0000)  0.36
Cl (0.5000, 0.2144, 0.2553)  0.00
Cl (0.5000, 0.2144, 0.7447)  0.00
Cl (0.0000, 0.7856, 0.2447)  0.00
Cl (0.0000, 0.7856, 0.7553)  0.00
Cl (0.2547, 0.0171, 0.5000)  0.01
Cl (0.7453, 0.0171, 0.5000)  0.01
Cl (0.2437, 0.4236, 0.5000)  0.01
Cl (0.7563, 0.4236, 0.5000)  0.01
Cl (0.7437, 0.5764, 0.0000)  0.01
Cl (0.2563, 0.5764, 0.0000)  0.01
Cl (0.2453, 0.9829, 0.0000)  0.01
Cl (0.7547, 0.9829, 0.0000)  0.01


Entry 5:
Here is an optimized crystal structure of Zn3PtS from the Alexandria database. Energies are from PBE-GGA.

energy relative to the lowest polymorph listed for this composition = 0.0 meV/atom
N(E_F) = 3.47 states/eV per cell
energy relative to the elements, uncorrected = 0.9 eV per formula unit

a = 4.8113 Å, b = 4.8113 Å, c = 4.8113 Å
α = 90.00°, β = 90.00°, γ = 90.00°
Positions (direct):
Zn (0.0000, 0.5000, 0.0000)
Zn (0.0000, 0.0000, 0.5000)
Zn (0.5000, 0.0000, 0.0000)
S (0.5000, 0.5000, 0.5000)
Pt (0.0000, 0.0000, 0.0000)


Entry 6:
Here is an optimized crystal structure of Ho4Er10Zr from the Alexandria database. Energies are from PBE-GGA.

formation energy from the elements = 242 meV per atom
N(E_F) = 19.54 states/eV per cell

a = 7.6619 Å, b = 8.7169 Å, c = 8.7169 Å
α = 78.86°, β = 63.93°, γ = 63.93°
Positions (direct):
Ho (0.2284, 0.0000, 0.5432)
Ho (0.7716, 0.4568, 0.0000)
Ho (0.2284, 0.5432, 0.0000)
Ho (0.7716, 0.0000, 0.4568)
Er (0.2500, 0.5000, 0.5000)
Er (0.7117, 0.2077, 0.7924)
Er (0.0806, 0.2076, 0.2077)
Er (0.4959, 0.7924, 0.7923)
Er (0.7118, 0.7923, 0.2076)
Er (0.2883, 0.7923, 0.2076)
Er (0.7500, 0.5000, 0.5000)
Er (0.2882, 0.2077, 0.7924)
Er (0.5041, 0.2076, 0.2077)
Er (0.9194, 0.7924, 0.7923)
Zr (0.0000, 0.0000, 0.0000)